Record 1
Here is a geometry-optimized PmHf2In structure from the Alexandria database. Energies are from PBE-GGA.

abc: 4.5827 4.5948 4.5948
angles: 90.00 90.00 90.00
Fractional coordinates of all 4 atoms:
1 Pm 0.5000 0.0000 0.0000
2 Hf 0.0000 0.5000 0.0000
3 Hf 0.0000 0.0000 0.5000
4 In 0.5000 0.5000 0.5000

Results
Polymorph energy (0 for the lowest one)   0 meV/atom
N(E_F)   2.60 states/eV per cell
Energy of formation   -0.040 eV/atom

=====

Record 2
Here is a geometry-optimized Pm2HfIn structure from the Alexandria database. Energies are from PBE-GGA.

abc: 3.4048 3.4048 12.0823
angles: 81.90 81.90 60.00
Fractional coordinates of all 4 atoms:
1 Pm 0.9078 0.9078 0.2767
2 Pm 0.0922 0.0922 0.7233
3 Hf 0.5000 0.5000 0.5000
4 In 0.0000 0.0000 0.0000

Results
Polymorph energy (0 for the lowest one)   275 meV/atom
N(E_F)   3.60 states/eV per cell
Energy of formation   0.169 eV/atom

=====

Record 3
Here is a geometry-optimized Pm2HfIn structure from the Alexandria database. Energies are from PBE-GGA.

abc: 4.8145 4.7378 4.7378
angles: 90.00 90.00 90.00
Fractional coordinates of all 4 atoms:
1 Hf 0.5000 0.5000 0.5000
2 Pm 0.0000 0.0000 0.5000
3 In 0.5000 0.0000 0.0000
4 Pm 0.0000 0.5000 0.0000

Results
Polymorph energy (0 for the lowest one)   0 meV/atom
N(E_F)   3.52 states/eV per cell
Energy of formation   -0.105 eV/atom

=====

Record 4
Here is a geometry-optimized PmHfIn2 structure from the Alexandria database. Energies are from PBE-GGA.

abc: 3.8111 3.8111 6.8897
angles: 90.00 90.00 90.00
Fractional coordinates of all 4 atoms:
1 Pm 0.5000 0.5000 0.5000
2 Hf 0.5000 0.5000 0.0000
3 In 0.0000 0.0000 0.7779
4 In 0.0000 0.0000 0.2221

Results
N(E_F)   3.75 states/eV per cell
Energy of formation   -0.209 eV/atom

=====

Record 5
Here is a geometry-optimized PmHfIn2 structure from the Alexandria database. Energies are from PBE-GGA.

abc: 3.3481 3.3481 10.6691
angles: 80.97 80.97 60.00
Fractional coordinates of all 4 atoms:
1 Hf 0.5000 0.5000 0.5000
2 Pm 0.0000 0.0000 0.0000
3 In 0.7551 0.7551 0.7348
4 In 0.2449 0.2449 0.2652

Results
N(E_F)   3.80 states/eV per cell
Energy of formation   -0.103 eV/atom

=====

Record 6
Here is a geometry-optimized PmHfIn structure from the Alexandria database. Energies are from PBE-GGA.

abc: 3.1416 5.2605 5.2605
angles: 120.00 90.00 90.00
Fractional coordinates of all 3 atoms:
1 Pm 0.1678 0.3333 0.6667
2 In 0.6669 0.6667 0.3333
3 Hf 0.1652 0.0000 0.0000

Results
N(E_F)   4.26 states/eV per cell
Energy of formation   0.157 eV/atom

=====

Record 7
Here is a geometry-optimized PmHfZnIn structure from the Alexandria database. Energies are from PBE-GGA.

abc: 5.0698 5.0698 5.0698
angles: 60.00 60.00 60.00
Fractional coordinates of all 4 atoms:
1 Pm 0.7500 0.7500 0.7500
2 Hf 0.2500 0.2500 0.2500
3 In 0.0000 0.0000 0.0000
4 Zn 0.5000 0.5000 0.5000

Results
N(E_F)   1.82 states/eV per cell
Energy of formation   -0.164 eV/atom

=====

Record 8
Here is a geometry-optimized Hf4InPt structure from the Alexandria database. Energies are from PBE-GGA.

abc: 3.2558 7.1394 5.5184
angles: 87.54 90.00 90.00
Fractional coordinates of all 6 atoms:
1 In 0.5000 0.0000 0.5000
2 Pt 0.0000 0.0000 0.0000
3 Hf 0.0000 0.3442 0.3304
4 Hf 0.5000 0.6833 0.1472
5 Hf 0.5000 0.3167 0.8528
6 Hf 0.0000 0.6558 0.6696

Results
N(E_F)   4.60 states/eV per cell
Energy of formation   -0.292 eV/atom

=====

Record 9
Here is a geometry-optimized HfIn2Pt9 structure from the Alexandria database. Energies are from PBE-GGA.

abc: 4.0429 4.0429 12.1182
angles: 90.00 90.00 90.00
Fractional coordinates of all 12 atoms:
1 Pt 0.0000 0.5000 0.8378
2 Pt 0.5000 0.0000 0.1622
3 Pt 0.5000 0.5000 0.6682
4 Pt 0.5000 0.0000 0.8378
5 Pt 0.5000 0.5000 0.3318
6 Pt 0.0000 0.5000 0.1622
7 Pt 0.0000 0.5000 0.5000
8 Hf 0.0000 0.0000 0.0000
9 Pt 0.5000 0.5000 0.0000
10 Pt 0.5000 0.0000 0.5000
11 In 0.0000 0.0000 0.3342
12 In 0.0000 0.0000 0.6658

Results
N(E_F)   9.79 states/eV per cell
Energy of formation   -0.654 eV/atom

=====

Record 10
Here is a geometry-optimized Hf8InPt2 structure from the Alexandria database. Energies are from PBE-GGA.

abc: 4.9164 7.5990 7.5990
angles: 116.76 99.33 99.33
Fractional coordinates of all 11 atoms:
1 Hf 0.9056 0.6802 0.9112
2 Hf 0.5000 0.7658 0.2342
3 Pt 0.0000 0.6912 0.3088
4 In 0.5000 0.0000 0.0000
5 Hf 0.3066 0.6023 0.6023
6 Pt 0.0000 0.3088 0.6912
7 Hf 0.5000 0.2342 0.7658
8 Hf 0.6934 0.3977 0.3977
9 Hf 0.0944 0.3198 0.0888
10 Hf 0.9056 0.9112 0.6802
11 Hf 0.0944 0.0888 0.3198

Results
N(E_F)   12.09 states/eV per cell
Energy of formation   -0.278 eV/atom

=====

Record 11
Here is a geometry-optimized HfInPt6 structure from the Alexandria database. Energies are from PBE-GGA.

abc: 4.0404 4.0404 8.0759
angles: 90.00 90.00 90.00
Fractional coordinates of all 8 atoms:
1 In 0.0000 0.0000 0.0000
2 Hf 0.0000 0.0000 0.5000
3 Pt 0.0000 0.5000 0.2563
4 Pt 0.5000 0.5000 0.0000
5 Pt 0.5000 0.0000 0.7437
6 Pt 0.0000 0.5000 0.7437
7 Pt 0.5000 0.0000 0.2563
8 Pt 0.5000 0.5000 0.5000

Results
N(E_F)   6.26 states/eV per cell
Energy of formation   -0.784 eV/atom

=====

Record 12
Here is a geometry-optimized HfInPt structure from the Alexandria database. Energies are from PBE-GGA.

abc: 4.5093 6.4569 9.0944
angles: 90.00 90.00 90.00
Fractional coordinates of all 12 atoms:
1 Pt 0.2500 0.2156 0.6185
2 Hf 0.2500 0.4872 0.8605
3 In 0.7500 0.4911 0.6142
4 Pt 0.2500 0.2844 0.1185
5 Hf 0.7500 0.5128 0.1395
6 Pt 0.7500 0.7156 0.8815
7 Hf 0.2500 0.0128 0.3605
8 Pt 0.7500 0.7844 0.3815
9 Hf 0.7500 0.9872 0.6395
10 In 0.2500 0.5089 0.3858
11 In 0.7500 0.0089 0.1142
12 In 0.2500 0.9911 0.8858

Results
N(E_F)   6.02 states/eV per cell
Energy of formation   -0.687 eV/atom